1.
# MgBeSe2

A relaxed structure of MgBeSe2 (PBE, the Alexandria database).

Cell: 5.588 5.588 5.588 Å, 143.94 89.21 101.85°
Element x y z (fractional)
Be  0.750  0.250  0.500
Mg  0.250  0.750  0.500
Se  0.971  0.971  0.000
Se  0.529  0.529  0.000

Results
Excess energy over the best structure of this formula in the dataset (meV/atom): 531
Formation energy from raw total energies (eV per atom): -0.44
Crystal system: orthorhombic
Total DFT energy (no corrections) (eV per atom): -3.517
V (Å³ per atom): 24.2

2.
# MgBeSe2

A relaxed structure of MgBeSe2 (PBE, the Alexandria database).

Cell: 4.676 4.676 4.676 Å, 60.00 60.00 60.00°
Element x y z (fractional)
Be  0.000  0.000  0.000
Mg  0.500  0.500  0.500
Se  0.250  0.250  0.250
Se  0.750  0.750  0.750

Results
Excess energy over the best structure of this formula in the dataset (meV/atom): 980
Formation energy from raw total energies (eV per atom): 0.00
Crystal system: cubic
Total DFT energy (no corrections) (eV per atom): -3.068
V (Å³ per atom): 18.1

3.
# Mg2BeSe

A relaxed structure of Mg2BeSe (PBE, the Alexandria database).

Cell: 3.476 3.979 5.703 Å, 69.46 90.00 90.00°
Element x y z (fractional)
Be  0.500  0.542  0.794
Mg  0.000  0.972  0.932
Mg  0.500  0.301  0.273
Se  0.000  0.686  0.501

Results
Excess energy over the best structure of this formula in the dataset (meV/atom): 0
Formation energy from raw total energies (eV per atom): -0.17
Crystal system: monoclinic
Total DFT energy (no corrections) (eV per atom): -2.772
V (Å³ per atom): 18.5

4.
# MgBe2Se

A relaxed structure of MgBe2Se (PBE, the Alexandria database).

Cell: 4.447 4.447 3.438 Å, 90.00 90.00 112.81°
Element x y z (fractional)
Be  0.000  0.000  0.000
Be  0.500  0.500  0.000
Mg  0.500  0.000  0.500
Se  0.000  0.500  0.500

Results
Excess energy over the best structure of this formula in the dataset (meV/atom): 322
Formation energy from raw total energies (eV per atom): 0.33
Crystal system: orthorhombic
Total DFT energy (no corrections) (eV per atom): -2.806
V (Å³ per atom): 15.7